An optimized crystal structure of Sr2Cd2Mo, computed with PBE-GGA.

a = 7.614 Å, b = 7.614 Å, c = 5.240 Å
α = 90.00°, β = 90.00°, γ = 90.00°
Atoms (fractional coordinates):
Sr  0.179  0.321  0.000
Sr  0.321  0.821  0.000
Sr  0.679  0.179  0.000
Sr  0.821  0.679  0.000
Cd  0.139  0.639  0.500
Cd  0.361  0.139  0.500
Cd  0.639  0.861  0.500
Cd  0.861  0.361  0.500
Mo  0.000  0.000  0.500
Mo  0.500  0.500  0.500

## Properties
D(E_F)	8.0	states/eV/cell
M_tot	4.8	Bohr magnetons per cell
ΔE to the lowest computed polymorph	0.000	eV per formula unit
VASP energy	-2.81	eV per atom
E_form	0.393	eV/atom

An optimized crystal structure of RbSeO2, computed with PBE-GGA.

a = 7.539 Å, b = 7.539 Å, c = 7.539 Å
α = 27.57°, β = 27.57°, γ = 27.57°
Atoms (fractional coordinates):
Rb  0.000  0.000  0.000
Se  0.500  0.500  0.500
O  0.418  0.418  0.418
O  0.582  0.582  0.582

## Properties
D(E_F)	1.9	states/eV/cell
M_tot	0.0	Bohr magnetons per cell
ΔE_f (raw)	-0.62	eV per atom
VASP energy	-4.21	eV per atom